# 1
{"formula": "KS", "functional": "PBE-GGA", "state": "optimized geometry", "lattice": [[0.000, 5.599, 7.884], [4.163, 0.000, 7.884], [4.163, 5.599, 0.000]], "species": ["K", "K", "K", "K", "S", "S", "S", "S"], "fractional_positions": [[0.061, 0.061, 0.689], [0.311, 0.311, 0.939], [0.689, 0.689, 0.061], [0.939, 0.939, 0.311], [0.004, 0.746, 0.746], [0.254, 0.996, 0.996], [0.746, 0.004, 0.004], [0.996, 0.254, 0.254]], "spacegroup": "Fddd", "dft_energy_ev_per_atom": -3.430, "formation_energy_uncorrected_ev_per_atom": -0.82, "total_magnetization_mub_per_fu": 0.0}

---

# 2
{"formula": "LiCu", "functional": "PBE-GGA", "state": "optimized geometry", "lattice": [[-4.879, 4.879, 1.234], [4.879, -4.879, 1.234], [4.879, 4.879, -1.234]], "species": ["Li", "Li", "Li", "Li", "Cu", "Cu", "Cu", "Cu"], "fractional_positions": [[0.122, 0.332, 0.454], [0.332, 0.878, 0.210], [0.668, 0.122, 0.790], [0.878, 0.668, 0.546], [0.074, 0.839, 0.912], [0.161, 0.074, 0.235], [0.839, 0.926, 0.765], [0.926, 0.161, 0.088]], "spacegroup": "I4/m", "formation_energy_ev_per_atom": 0.125, "dft_energy_ev_per_atom": -2.880, "total_magnetization_mub_per_fu": 0.0}

---

# 3
{"formula": "ZrAg2CI", "functional": "PBE-GGA", "state": "optimized geometry", "lattice": [[5.324, 0.000, 0.000], [0.000, 5.324, 0.000], [0.000, 0.000, 4.174]], "species": ["Zr", "Ag", "Ag", "C", "I"], "fractional_positions": [[0.000, 0.000, 0.000], [0.000, 0.500, 0.500], [0.500, 0.000, 0.500], [0.500, 0.500, 0.000], [0.500, 0.500, 0.500]], "spacegroup": "P4/mmm", "dft_energy_ev_per_atom": -3.052, "formation_energy_uncorrected_ev_per_atom": 1.95, "total_magnetization_mub_per_fu": 0.0}

---

# 4
{"formula": "Ca5Al2Bi", "functional": "PBE-GGA", "state": "optimized geometry", "lattice": [[-4.115, 4.115, 7.448], [4.115, -4.115, 7.448], [4.115, 4.115, -7.448]], "species": ["Ca", "Ca", "Ca", "Ca", "Ca", "Ca", "Ca", "Ca", "Ca", "Ca", "Al", "Al", "Al", "Al", "Bi", "Bi"], "fractional_positions": [[0.000, 0.000, 0.000], [0.033, 0.533, 0.846], [0.187, 0.033, 0.500], [0.313, 0.813, 0.846], [0.467, 0.313, 0.500], [0.500, 0.500, 0.000], [0.533, 0.687, 0.500], [0.687, 0.187, 0.154], [0.813, 0.967, 0.500], [0.967, 0.467, 0.154], [0.114, 0.386, 0.500], [0.386, 0.886, 0.271], [0.614, 0.114, 0.729], [0.886, 0.614, 0.500], [0.250, 0.250, 0.000], [0.750, 0.750, 0.000]], "spacegroup": "I4/mcm", "formation_energy_ev_per_atom": -0.404, "dft_energy_ev_per_atom": -3.075, "total_magnetization_mub_per_fu": 0.0}